# 1
Here is Ta2PtRh after structural relaxation from the Alexandria database. Energies are from PBE.

Cell: 2.8943 2.8943 27.7210 Å, 90.00 90.00 120.00°
Space group R3m (No. 160, hexagonal axes)
Symmetry-distinct sites (fractional):
Ta 0.0000 0.0000 0.0000 x3
Ta 0.0000 0.0000 0.2417 x3
Pt 0.0000 0.0000 0.7465 x3
Rh 0.0000 0.0000 0.4997 x3


# 2
Here is Ta4PtRh3 after structural relaxation from the Alexandria database. Energies are from PBE.

Cell: 9.2203 5.6940 4.9089 Å, 90.00 90.00 90.00°
Space group Pmma (No. 51)
Symmetry-distinct sites (fractional):
Ta 0.0000 0.2497 0.0000 x4
Ta 0.2500 0.2484 0.3633 x4
Pt 0.0000 0.5000 0.5000 x2
Rh 0.0000 0.0000 0.5000 x2
Rh 0.2500 0.0000 0.8602 x2
Rh 0.2500 0.5000 0.8575 x2


# 3
Here is TaPt2Rh after structural relaxation from the Alexandria database. Energies are from PBE.

Cell: 3.3721 3.3721 5.6330 Å, 90.00 90.00 90.00°
Space group P4mm (No. 99)
Symmetry-distinct sites (fractional):
Ta 0.0000 0.0000 0.0000 x1
Pt 0.0000 0.0000 0.5109 x1
Pt 0.5000 0.5000 0.2539 x1
Rh 0.5000 0.5000 0.7682 x1


# 4
Here is TaPt6Rh after structural relaxation from the Alexandria database. Energies are from PBE.

Cell: 7.1890 7.1890 9.8841 Å, 90.00 90.00 120.00°
Space group R-3m (No. 166, hexagonal axes)
Symmetry-distinct sites (fractional):
Ta 0.0000 0.0000 0.0000 x3
Pt 0.0822 0.5411 0.3758 x18
Rh 0.0000 0.0000 0.5000 x3


# 5
Here is TaPt6Rh5 after structural relaxation from the Alexandria database. Energies are from PBE.

Cell: 3.9173 7.9231 11.7187 Å, 90.00 90.00 90.00°
Space group Immm (No. 71)
Symmetry-distinct sites (fractional):
Ta 0.0000 0.0000 0.0000 x2
Pt 0.0000 0.2480 0.1674 x8
Pt 0.0000 0.2541 0.5000 x4
Rh 0.0000 0.0000 0.3389 x4
Rh 0.0000 0.5000 0.0000 x2
Rh 0.0000 0.5000 0.3374 x4


# 6
Here is Ta2Pt7Rh2 after structural relaxation from the Alexandria database. Energies are from PBE.

Cell: 7.6257 8.1336 6.1545 Å, 90.00 108.08 90.00°
Space group C2/m (No. 12)
Symmetry-distinct sites (fractional):
Ta 0.2128 0.0000 0.4839 x4
Pt 0.0000 0.0000 0.0000 x2
Pt 0.1003 0.5000 0.8132 x4
Pt 0.1741 0.2800 0.1755 x8
Rh 0.0000 0.2416 0.5000 x4


# 7
Here is Ta2PtRh after structural relaxation from the Alexandria database. Energies are from PBE.

Cell: 2.8257 4.6567 4.9777 Å, 90.00 93.27 90.00°
Space group Pm (No. 6)
Symmetry-distinct sites (fractional):
Ta 0.0000 0.0000 0.0000 x1
Ta 0.1379 0.5000 0.6330 x1
Pt 0.5702 0.5000 0.1425 x1
Rh 0.5628 0.0000 0.5022 x1


# 8
Here is TaPt2Rh2 after structural relaxation from the Alexandria database. Energies are from PBE.

## Properties
Energy relative to the lowest polymorph listed for this composition, eV per atom: 0.380

Cell: 6.7729 6.7729 3.5828 Å, 90.00 90.00 90.00°
Space group P4/mbm (No. 127)
Symmetry-distinct sites (fractional):
Ta 0.0000 0.0000 0.0000 x2
Pt 0.1378 0.3622 0.0000 x4
Rh 0.1591 0.6591 0.5000 x4


# 9
Here is TaPt2Rh after structural relaxation from the Alexandria database. Energies are from PBE.

Cell: 3.9220 3.9220 8.0904 Å, 90.00 90.00 90.00°
Space group I4/mmm (No. 139)
Symmetry-distinct sites (fractional):
Ta 0.0000 0.0000 0.0000 x2
Pt 0.0000 0.5000 0.2500 x4
Rh 0.0000 0.0000 0.5000 x2


# 10
Here is TaPt4Rh3 after structural relaxation from the Alexandria database. Energies are from PBE.

Cell: 2.7761 8.5177 10.8622 Å, 90.00 90.00 90.00°
Space group Immm (No. 71)
Symmetry-distinct sites (fractional):
Ta 0.0000 0.0000 0.0000 x2
Pt 0.0000 0.2711 0.1263 x8
Rh 0.0000 0.0000 0.5000 x2
Rh 0.0000 0.5000 0.2969 x4


# 11
Here is Ta2Pt4Rh3 after structural relaxation from the Alexandria database. Energies are from PBE.

Cell: 8.9201 3.9520 8.3597 Å, 90.00 109.32 90.00°
Space group C2/m (No. 12)
Symmetry-distinct sites (fractional):
Ta 0.1679 0.0000 0.2268 x4
Pt 0.0010 0.5000 0.6686 x4
Pt 0.1673 0.0000 0.8915 x4
Rh 0.0000 0.5000 0.0000 x2
Rh 0.1675 0.0000 0.5512 x4


# 12
Here is Ta2PtRh after structural relaxation from the Alexandria database. Energies are from PBE.

Cell: 9.3613 2.8855 4.9564 Å, 90.00 100.33 90.00°
Space group C2/m (No. 12)
Symmetry-distinct sites (fractional):
Ta 0.2493 0.0000 0.2510 x4
Pt 0.0000 0.5000 0.0000 x2
Rh 0.0000 0.0000 0.5000 x2


Looking at ΔE_f for the records above, in order, we have -0.217, -0.514, -0.474, 0.220, -0.259, -0.311, -0.551, -0.096, -0.674, -0.103, -0.575, -0.291 eV per atom.
Looking at E_tot for the records above, in order, we have -9.491, -9.953, -8.296, -6.712, -7.330, -7.646, -9.825, -7.824, -8.496, -7.362, -8.344, -9.566 eV/atom.
Looking at magnetic moment for the records above, in order, we have 0.000, 0.000, 0.000, 0.000, 0.001, 0.000, 0.000, 0.000, 0.000, 0.000, 0.000, 0.000 μB per formula unit.